## Mg2AlIrS (PBE)

Data for an optimized crystal structure of Mg2AlIrS.

Unit cell a=5.094 b=5.094 c=4.427 alpha=90.00 beta=90.00 gamma=90.00
Space group P4/mmm (No. 123)
Unique sites:
Mg: 0.000 0.500 0.000 x2
Al: 0.000 0.000 0.000 x1
Ir: 0.000 0.000 0.500 x1
S: 0.500 0.500 0.500 x1

Output
Raw formation energy   586 meV/atom
Spin magnetization   0.37 μB/f.u.